BeAl2Ni (PBE, relaxed); mass density = 3970 kg/m³; density of states at the Fermi level = 2.585 states/eV/cell; calculated total energy = -4.333 eV/atom; magnetization = 0.000 μB/cell
1.0
-6.465 4.626 -1.154
-7.547 2.712 0.467
-6.222 4.836 1.559
Al Be Ni
2 1 1
Direct
0.498 0.498 0.498 Al
0.002 0.002 0.002 Al
0.250 0.250 0.250 Be
0.750 0.750 0.750 Ni

---

Li2PBr (PBE, relaxed); ΔE_f (raw) = -0.43 eV/atom; mass density = 2808 kg/m³; density of states at the Fermi level = 2.526 states/eV/cell; calculated total energy = -3.155 eV/atom; offset from the most stable computed form = 0.1605 eV/atom; magnetization = 0.000 μB/cell
1.0
-4.889 0.057 5.109
0.916 -6.947 0.955
0.111 -2.893 5.033
P Br Li
2 2 4
Direct
0.500 0.500 0.000 P
0.250 0.750 0.500 P
0.000 0.000 0.000 Br
0.750 0.250 0.500 Br
0.619 0.125 0.250 Li
0.131 0.625 0.250 Li
0.375 0.381 0.750 Li
0.875 0.869 0.750 Li